i | GeBi3Rh | PBE | relaxed

a = 5.3135 Å, b = 5.3135 Å, c = 5.3135 Å
α = 90.00°, β = 90.00°, γ = 90.00°
Atoms (fractional coordinates):
Ge (0.5000, 0.5000, 0.5000)
Rh (0.0000, 0.0000, 0.0000)
Bi (0.0000, 0.5000, 0.0000)
Bi (0.0000, 0.0000, 0.5000)
Bi (0.5000, 0.0000, 0.0000)

=====

ii | GeBi3Rh | PBE | relaxed

a = 5.3843 Å, b = 5.3843 Å, c = 5.3843 Å
α = 90.00°, β = 90.00°, γ = 90.00°
Atoms (fractional coordinates):
Ge (0.0000, 0.0000, 0.0000)
Rh (0.5000, 0.5000, 0.5000)
Bi (0.0000, 0.5000, 0.0000)
Bi (0.0000, 0.0000, 0.5000)
Bi (0.5000, 0.0000, 0.0000)

=====

Energy comparison, zero being the most stable, in kJ/mol of atoms: i 0.0; ii 58.4.